First-principles (PBE-GGA) data for a geometry-optimized Sc6CoPb2S structure, as listed in Alexandria.

- M_tot: 0.0 μB/f.u.
- ρ: 5.60 g/cm³
- VASP energy: -62.8 eV per cell

```
Sc6CoPb2S
1.0
-3.4383 3.4383 4.8577
3.4383 -3.4383 4.8577
3.4383 3.4383 -4.8577
Sc Co Pb S
6 1 2 1
Direct
0.2427 0.2427 0.0000
0.2429 0.2429 0.4858
0.2429 0.7571 0.0000
0.7571 0.2429 0.0000
0.7573 0.7573 0.0000
0.7571 0.7571 0.5142
0.0000 0.0000 0.0000
0.2500 0.7500 0.5000
0.7500 0.2500 0.5000
0.5000 0.5000 0.0000
```